[1]
Below is a relaxed structure of GaSnPS2, with properties calculated at the PBE level.

Unit cell a=4.767 b=4.767 c=4.731 alpha=90.00 beta=90.00 gamma=90.00
Atoms (fractional coordinates):
P1 0.000 0.000 0.500
S1 0.000 0.500 0.000
S2 0.500 0.000 0.000
Sn1 0.500 0.500 0.500
Ga1 0.000 0.000 0.000

Properties
Total magnetization   0.0000 μB/atom
Space-group type   P4/mmm
Energy above the lowest structure with this stoichiometry   0 meV per atom
Formation energy without anion corrections   26.5 kJ/mol of atoms
Calculated total energy   -3.865 eV per atom

***

[2]
Below is a relaxed structure of SrGaP2S, with properties calculated at the PBE level.

Unit cell a=4.730 b=4.730 c=5.091 alpha=90.00 beta=90.00 gamma=90.00
Atoms (fractional coordinates):
Sr1 0.500 0.500 0.500
S1 0.000 0.000 0.500
Ga1 0.000 0.000 0.000
P1 0.000 0.500 0.000
P2 0.500 0.000 0.000

Properties
Total magnetization   0.0000 μB/atom
Space-group type   P4/mmm
Energy above the lowest structure with this stoichiometry   0 meV per atom
Formation energy without anion corrections   -14.6 kJ/mol of atoms
Calculated total energy   -4.083 eV per atom

***

[3]
Below is a relaxed structure of SrGaP2S8, with properties calculated at the PBE level.

Unit cell a=5.916 b=5.916 c=8.711 alpha=90.00 beta=90.00 gamma=120.00
Atoms (fractional coordinates):
Sr1 0.000 0.000 0.000
Ga1 0.000 0.000 0.500
P1 0.667 0.333 0.257
P2 0.333 0.667 0.743
S1 0.333 0.667 0.977
S2 0.322 0.321 0.317
S3 0.679 0.001 0.317
S4 0.667 0.333 0.023
S5 0.321 0.999 0.683
S6 0.678 0.679 0.683
S7 0.001 0.322 0.683
S8 0.999 0.678 0.317

Properties
Total magnetization   0.0004 μB/atom
Space-group type   P-3
Formation energy without anion corrections   -47.4 kJ/mol of atoms
Calculated total energy   -4.537 eV per atom

***

[4]
Below is a relaxed structure of SrGaPS2, with properties calculated at the PBE level.

Unit cell a=5.633 b=5.633 c=5.931 alpha=90.00 beta=90.00 gamma=90.00
Each line ends with the local moment (μB).
Atoms (fractional coordinates):
Sr1 0.000 0.000 0.000  0.03
S1 0.000 0.500 0.000  0.53
S2 0.500 0.000 0.000  0.53
Ga1 0.500 0.500 0.500  0.01
P1 0.000 0.000 0.500  0.93

Properties
Total magnetization   0.7977 μB/atom
Space-group type   P4/mmm
Energy above the lowest structure with this stoichiometry   925 meV per atom
Formation energy without anion corrections   44.9 kJ/mol of atoms
Calculated total energy   -3.209 eV per atom